The following is a DFT calculation (PBE) of a relaxed structure of RbNb3V.

## Properties
Energy of formation: 1.460 eV per atom
ΔE to the lowest computed polymorph: 0.0 meV per atom
Magnetization: 0.00 μB/f.u.
E: -6.5988 eV per atom

```
5
Lattice="4.908 0.000 0.000 0.000 4.908 0.000 0.000 0.000 4.908" Properties=species:S:1:pos:R:3 pbc="T T T"
Rb 0.000 0.000 0.000
Nb 0.000 2.454 2.454
Nb 2.454 0.000 2.454
Nb 2.454 2.454 0.000
V 2.454 2.454 2.454
```